No. 1
Material: Rb2FeW3O12
Method: DFT, PBE with a Hubbard U
State: optimized geometry

Summary:
V (Å³/cell): 814.3
E_tot (eV for the cell shown): -365.619
Magnetic moment (μB/f.u.): 2.1

Geometry as CIF:
```
data_Rb2FeW3O12
_chemical_formula_sum 'Rb6 Fe3 W9 O36'
_symmetry_space_group_name_H-M 'R -3 m'
_symmetry_Int_Tables_number 166
_symmetry_space_group_name_Hall '-R 3 2"'
_cell_length_a 7.3568
_cell_length_b 7.3568
_cell_length_c 17.3734
_cell_angle_alpha 90.00
_cell_angle_beta 90.00
_cell_angle_gamma 120.00
loop_
_atom_site_label
_atom_site_type_symbol
_atom_site_fract_x
_atom_site_fract_y
_atom_site_fract_z
Rb1 Rb 0.0000 0.0000 0.1329
Fe1 Fe 0.0000 0.0000 0.5000
W1 W 0.0000 0.5000 0.0000
O1 O 0.0839 0.5420 0.3585
O2 O 0.0881 0.5441 0.1044
```

***

No. 2
Material: RbYFeO4
Method: DFT, PBE with a Hubbard U
State: optimized geometry

Summary:
V (Å³/cell): 256.4
E_tot (eV for the cell shown): -93.874
Magnetic moment (μB/f.u.): 4.0

Geometry as CIF:
```
data_RbYFeO4
_chemical_formula_sum 'Rb2 Y2 Fe2 O8'
_symmetry_space_group_name_H-M 'P 1 21/m 1'
_symmetry_Int_Tables_number 11
_symmetry_space_group_name_Hall '-P 2yb'
_cell_length_a 5.898
_cell_length_b 6.052
_cell_length_c 7.599
_cell_angle_alpha 90.00
_cell_angle_beta 109.04
_cell_angle_gamma 90.00
loop_
_atom_site_label
_atom_site_type_symbol
_atom_site_fract_x
_atom_site_fract_y
_atom_site_fract_z
Rb1 Rb 0.202 0.250 0.436
Y1 Y 0.319 0.250 0.964
Fe1 Fe 0.235 0.750 0.161
O1 O 0.016 0.750 0.941
O2 O 0.031 0.750 0.291
O3 O 0.459 0.524 0.173
```

***

> Which value of E_tot does entry 2 give?

-93.874 eV for the cell shown

***

> What is the magnetic moment in the second record?

4.0 μB/f.u.

***

> Number 2 is which compound?

RbYFeO4